[1]
First-principles (GGA-PBE) data for a relaxed CoPt2W crystal, as listed in the Alexandria database.

Summary:
- crystal system = cubic
- formation enthalpy at 0 K (meV/atom) = 55
- polymorph energy (0 for the lowest one) (meV/atom) = 240

Lattice parameters (Å, degrees): 4.3660 4.3660 4.3660 60.00 60.00 60.00
Closest atoms and distances in Å follow each position.
Fractional coordinates of all 4 atoms:
1 Co 0.5000 0.5000 0.5000  4 W 2.67, 4 Pt 2.67
2 Pt 0.0000 0.0000 0.0000  4 Pt 2.67, 4 W 2.67
3 Pt 0.2500 0.2500 0.2500  4 Co 2.67, 4 Pt 2.67
4 W 0.7500 0.7500 0.7500  4 Co 2.67, 4 Pt 2.67

=====

[2]
First-principles (GGA-PBE) data for a relaxed CoPt2W crystal, as listed in the Alexandria database.

Summary:
- crystal system = tetragonal
- formation enthalpy at 0 K (meV/atom) = 429
- polymorph energy (0 for the lowest one) (meV/atom) = 615

Lattice parameters (Å, degrees): 6.9054 6.9054 5.5616 51.62 51.62 90.00
Closest atoms and distances in Å follow each position.
Fractional coordinates of all 8 atoms:
1 W 0.7500 0.2500 0.5000  4 Pt 2.57, 2 Co 2.66
2 W 0.0000 0.0000 0.0000  4 Pt 2.57, 2 Co 2.66
3 Co 0.2500 0.7500 0.5000  4 Pt 2.49, 2 W 2.66
4 Co 0.5000 0.5000 0.0000  4 Pt 2.49, 2 W 2.66
5 Pt 0.6170 0.1250 0.2500  2 Co 2.49, 2 W 2.57, 2 Pt 2.66
6 Pt 0.8750 0.8670 0.7500  2 Co 2.49, 2 W 2.57, 2 Pt 2.66
7 Pt 0.1330 0.6250 0.2500  2 Co 2.49, 2 W 2.57, 2 Pt 2.66
8 Pt 0.3750 0.3830 0.7500  2 Co 2.49, 2 W 2.57, 2 Pt 2.66

=====

[3]
First-principles (GGA-PBE) data for a relaxed CoPtW2 crystal, as listed in the Alexandria database.

Summary:
- crystal system = trigonal
- formation enthalpy at 0 K (meV/atom) = 136
- polymorph energy (0 for the lowest one) (meV/atom) = 217

Lattice parameters (Å, degrees): 9.1441 9.1441 9.1441 17.38 17.38 17.38
Closest atoms and distances in Å follow each position.
Fractional coordinates of all 4 atoms:
1 W 0.2433 0.2433 0.2433  3 Co 2.59, 6 W 2.76
2 W 0.0019 0.0019 0.0019  9 W 2.76-2.95, 3 Pt 2.79
3 Co 0.5012 0.5012 0.5012  3 W 2.59, 3 Pt 2.71, 6 Co 2.76
4 Pt 0.7535 0.7535 0.7535  3 Co 2.71, 6 Pt 2.76, 3 W 2.79

=====

[4]
First-principles (GGA-PBE) data for a relaxed CoPtW2 crystal, as listed in the Alexandria database.

Summary:
- crystal system = tetragonal
- formation enthalpy at 0 K (meV/atom) = -77
- polymorph energy (0 for the lowest one) (meV/atom) = 4

Lattice parameters (Å, degrees): 3.8076 3.8080 3.9918 90.00 90.00 90.00
Closest atoms and distances in Å follow each position.
Fractional coordinates of all 4 atoms:
1 Co 0.5000 0.0000 0.5000  4 Pt 2.69, 8 W 2.76
2 W 0.0000 0.0000 0.0000  4 W 2.69, 4 Co 2.76, 4 Pt 2.76
3 W 0.5000 0.5000 0.0000  4 W 2.69, 4 Pt 2.76, 4 Co 2.76
4 Pt 0.0000 0.5000 0.5000  4 Co 2.69, 8 W 2.76